GaAg2Au5 | PBE-GGA | relaxed

Cell lengths 5.707, 11.496, 4.349 Å; angles 90.00, 90.00, 90.00 degrees
Space group Pbam (No. 55)
One atom of each set of equivalent atoms:
Ga (0.000, 0.000, 0.000) (multiplicity 2)
Ag (0.194, 0.360, 0.500) (multiplicity 4)
Au (0.000, 0.500, 0.000) (multiplicity 2)
Au (0.041, 0.761, 0.000) (multiplicity 4)
Au (0.201, 0.106, 0.500) (multiplicity 4)

Values from the calculation:
- Fermi-level density of states: 0.231 states/eV per atom
- Volume: 285 Å³ per cell
- Excess energy over the best structure of this formula in the dataset: 0 meV/atom

=====

Ga2Ag5Au6 | PBE-GGA | relaxed

Cell lengths 9.971, 12.205, 4.004 Å; angles 90.00, 90.00, 90.00 degrees
Space group Pbam (No. 55)
One atom of each set of equivalent atoms:
Ga (0.148, 0.239, 0.000) (multiplicity 4)
Ag (0.000, 0.500, 0.500) (multiplicity 2)
Ag (0.059, 0.721, 0.500) (multiplicity 4)
Ag (0.123, 0.070, 0.500) (multiplicity 4)
Au (0.079, 0.894, 0.000) (multiplicity 4)
Au (0.178, 0.571, 0.000) (multiplicity 4)
Au (0.218, 0.364, 0.500) (multiplicity 4)

Values from the calculation:
- Fermi-level density of states: 0.359 states/eV per atom
- Uncorrected energy: -80.44 eV per cell
- Volume: 487 Å³ per cell

=====

GaAg2Au8 | PBE-GGA | relaxed

Cell lengths 10.238, 9.174, 5.104 Å; angles 90.00, 110.00, 90.00 degrees
Space group C2/m (No. 12)
One atom of each set of equivalent atoms:
Ga (0.000, 0.000, 0.000) (multiplicity 2)
Ag (0.144, 0.000, 0.518) (multiplicity 4)
Au (0.071, 0.500, 0.298) (multiplicity 4)
Au (0.080, 0.237, 0.805) (multiplicity 8)
Au (0.228, 0.500, 0.901) (multiplicity 4)

Values from the calculation:
- Fermi-level density of states: 0.275 states/eV per atom
- Volume: 450 Å³ per cell
- Excess energy over the best structure of this formula in the dataset: 143 meV/atom

=====

Ga3Ag3Au | PBE-GGA | relaxed

Cell lengths 8.2058, 8.2058, 6.8461 Å; angles 90.00, 90.00, 120.00 degrees
Space group R3m (No. 160, hexagonal axes)
One atom of each set of equivalent atoms:
Ga (0.1908, 0.3816, 0.0000) (multiplicity 9)
Ag (0.2125, 0.4249, 0.4032) (multiplicity 9)
Au (0.0000, 0.0000, 0.0732) (multiplicity 3)

Values from the calculation:
- Fermi-level density of states: 0.461 states/eV per atom
- Uncorrected energy: -62.14 eV per cell
- Volume: 399 Å³ per cell

=====

Ga2AgAu | PBE-GGA | relaxed

Cell lengths 3.501, 3.501, 5.873 Å; angles 90.00, 90.00, 90.00 degrees
Space group P4/mmm (No. 123)
One atom of each set of equivalent atoms:
Ga (0.000, 0.000, 0.248) (multiplicity 2)
Ag (0.500, 0.500, 0.500) (multiplicity 1)
Au (0.500, 0.500, 0.000) (multiplicity 1)

Values from the calculation:
- Fermi-level density of states: 0.120 states/eV per atom
- Volume: 72 Å³ per cell
- Excess energy over the best structure of this formula in the dataset: 30 meV/atom

=====

Ga6AgAu8 | PBE-GGA | relaxed

Cell lengths 7.8383, 7.8383, 16.5014 Å; angles 90.00, 90.00, 120.00 degrees
Space group R-3 (No. 148, hexagonal axes)
One atom of each set of equivalent atoms:
Ga (0.0035, 0.3420, 0.2327) (multiplicity 18)
Ag (0.0000, 0.0000, 0.0000) (multiplicity 3)
Au (0.0000, 0.0000, 0.3412) (multiplicity 6)
Au (0.0050, 0.3439, 0.4074) (multiplicity 18)

Values from the calculation:
- Fermi-level density of states: 0.358 states/eV per atom
- Uncorrected energy: -148.64 eV per cell
- Volume: 878 Å³ per cell